# Re2MoW5 PBE optimized geometry
data_Re2MoW5
_space_group_name_H-M_alt 'P 1'
_space_group_IT_number 1
_cell_length_a 5.2392
_cell_length_b 5.2456
_cell_length_c 5.2528
_cell_angle_alpha 117.00
_cell_angle_beta 95.24
_cell_angle_gamma 95.34
loop_
_space_group_symop_operation_xyz
'x,y,z'
loop_
_atom_site_label
_atom_site_fract_x
_atom_site_fract_y
_atom_site_fract_z
Re1 0.0000 0.0000 0.0000
Re2 0.2548 0.6175 0.1230
Mo1 0.2536 0.1213 0.6199
W1 0.0015 0.4988 0.5013
W2 0.4984 0.7476 0.7482
W3 0.5027 0.2447 0.2471
W4 0.7530 0.3736 0.8739
W5 0.7557 0.8712 0.3739
# - formation energy from the elements (eV per formula unit) = 0.278
# - density of states at the Fermi level (states/eV/cell) = 5.455
# - mass density (g/cm³) = 18.2
# - calculated volume (Å³/atom) = 15.8

=====

# Ba2LaMn PBE optimized geometry
data_Ba2LaMn
_space_group_name_H-M_alt 'C 1 2/m 1'
_space_group_IT_number 12
_cell_length_a 7.7311
_cell_length_b 10.2965
_cell_length_c 4.0372
_cell_angle_alpha 90.00
_cell_angle_beta 90.13
_cell_angle_gamma 90.00
loop_
_space_group_symop_operation_xyz
'x,y,z'
'-x,-y,-z'
'-x,y,-z'
'x,-y,z'
'x+1/2,y+1/2,z'
'-x+1/2,-y+1/2,-z'
'-x+1/2,y+1/2,-z'
'x+1/2,-y+1/2,z'
loop_
_atom_site_label
_atom_site_fract_x
_atom_site_fract_y
_atom_site_fract_z
Ba1 0.2500 0.2500 0.0000
La1 0.0000 0.0000 0.5000
Mn1 0.0000 0.5000 0.5000
# - formation energy from the elements (eV per formula unit) = 2.186
# - distance to the lowest polymorph of the same formula (kcal/mol of atoms) = 6.06
# - density of states at the Fermi level (states/eV/cell) = 11.800
# - mass density (g/cm³) = 4.8
# - calculated volume (Å³/atom) = 40.2

=====

# KTiW3 PBE optimized geometry
data_KTiW3
_space_group_name_H-M_alt 'P m -3 m'
_space_group_IT_number 221
_space_group_name_Hall '-P 4 2 3'
_cell_length_a 4.5262
_cell_length_b 4.5262
_cell_length_c 4.5262
_cell_angle_alpha 90.00
_cell_angle_beta 90.00
_cell_angle_gamma 90.00
loop_
_atom_site_label
_atom_site_fract_x
_atom_site_fract_y
_atom_site_fract_z
K1 0.0000 0.0000 0.0000
Ti1 0.5000 0.5000 0.5000
W1 0.0000 0.0000 0.5000
# - formation energy from the elements (eV per formula unit) = 16.966
# - distance to the lowest polymorph of the same formula (kcal/mol of atoms) = 27.24
# - density of states at the Fermi level (states/eV/cell) = 8.568
# - mass density (g/cm³) = 11.4
# - calculated volume (Å³/atom) = 18.5

=====

Please write out number 1 again, unchanged.
# Re2MoW5 PBE optimized geometry
data_Re2MoW5
_space_group_name_H-M_alt 'P 1'
_space_group_IT_number 1
_cell_length_a 5.2392
_cell_length_b 5.2456
_cell_length_c 5.2528
_cell_angle_alpha 117.00
_cell_angle_beta 95.24
_cell_angle_gamma 95.34
loop_
_space_group_symop_operation_xyz
'x,y,z'
loop_
_atom_site_label
_atom_site_fract_x
_atom_site_fract_y
_atom_site_fract_z
Re1 0.0000 0.0000 0.0000
Re2 0.2548 0.6175 0.1230
Mo1 0.2536 0.1213 0.6199
W1 0.0015 0.4988 0.5013
W2 0.4984 0.7476 0.7482
W3 0.5027 0.2447 0.2471
W4 0.7530 0.3736 0.8739
W5 0.7557 0.8712 0.3739
# - formation energy from the elements (eV per formula unit) = 0.278
# - density of states at the Fermi level (states/eV/cell) = 5.455
# - mass density (g/cm³) = 18.2
# - calculated volume (Å³/atom) = 15.8

=====

> Which formula does entry 1 have?

Re2MoW5

=====

> The highest mass density belongs to which entry?

Re2MoW5